Compound: TiCu3Re
Source: Alexandria
Functional: GGA-PBE
Structure: optimized geometry

Calculated values
For the energy above the most stable polymorph in this dataset, the calculation gives 0 meV per atom. The volume is 95 Å³/cell. The symmetry is Pm-3m, No. 221. As for the crystal system: cubic. The value obtained for the formation energy is 32.52 kcal/mol of atoms. Its size of the total moment is 0.000 μB per formula unit.

Cell lengths 4.566, 4.566, 4.566 Å; angles 90.00, 90.00, 90.00 degrees
Fractional coordinates of all 5 atoms:
Re  0.000  0.000  0.000
Cu  0.000  0.500  0.000
Cu  0.000  0.000  0.500
Cu  0.500  0.000  0.000
Ti  0.500  0.500  0.500

Compound: TbNdSc2
Source: Alexandria
Functional: GGA-PBE
Structure: optimized geometry

Calculated values
For the energy above the most stable polymorph in this dataset, the calculation gives 0 meV per atom. The volume is 115 Å³/cell. The symmetry is P4/mmm, No. 123. As for the crystal system: tetragonal. The value obtained for the formation energy is 1.24 kcal/mol of atoms. Its size of the total moment is 0.000 μB per formula unit.

Cell lengths 3.548, 3.548, 9.133 Å; angles 90.00, 90.00, 90.00 degrees
Fractional coordinates of all 4 atoms:
Sc  0.000  0.000  0.754
Sc  0.000  0.000  0.246
Nd  0.500  0.500  0.500
Tb  0.500  0.500  0.000

Compound: TaTlBr2
Source: Alexandria
Functional: GGA-PBE
Structure: optimized geometry

Calculated values
For the energy above the most stable polymorph in this dataset, the calculation gives 359 meV per atom. The volume is 105 Å³/cell. The symmetry is Cmm2, No. 35. As for the crystal system: orthorhombic. The calculation puts the raw formation energy at 154 meV/atom. Its size of the total moment is 0.000 μB per formula unit.

Cell lengths 3.533, 3.533, 10.057 Å; angles 90.00, 90.00, 122.92 degrees
Fractional coordinates of all 4 atoms:
Tl  0.500  0.500  0.737
Br  0.000  0.000  0.962
Br  0.500  0.500  0.302
Ta  0.000  0.000  0.499

Compound: Pt3ClF
Source: Alexandria
Functional: GGA-PBE
Structure: optimized geometry

Calculated values
For the energy above the most stable polymorph in this dataset, the calculation gives 0 meV per atom. The volume is 93 Å³/cell. The symmetry is Pm-3m, No. 221. As for the crystal system: cubic. The calculation puts the raw formation energy at 993 meV/atom. Its size of the total moment is 0.000 μB per formula unit.

Cell lengths 4.531, 4.531, 4.531 Å; angles 90.00, 90.00, 90.00 degrees
Fractional coordinates of all 5 atoms:
F  0.500  0.500  0.500
Pt  0.000  0.500  0.000
Pt  0.000  0.000  0.500
Pt  0.500  0.000  0.000
Cl  0.000  0.000  0.000

Compound: HoTm2NpP4
Source: Alexandria
Functional: GGA-PBE
Structure: optimized geometry

Calculated values
The volume is 175 Å³/cell. The symmetry is P2/m, No. 10. As for the crystal system: monoclinic. The value obtained for the formation energy is -32.65 kcal/mol of atoms. Its size of the total moment is 3.614 μB per formula unit.

Cell lengths 3.952, 6.851, 6.845 Å; angles 109.34, 90.00, 90.00 degrees
Each line ends with the local moment (μB).
Fractional coordinates of all 8 atoms:
Ho  0.500  0.500  0.000  0.03
Tm  0.500  0.000  0.500  0.02
Tm  0.000  0.500  0.500  0.01
Np  0.000  0.000  0.000  3.49
P  0.500  0.248  0.250  -0.07
P  0.500  0.752  0.750  -0.07
P  0.000  0.247  0.750  -0.04
P  0.000  0.753  0.250  -0.04

Compound: ZrMn2Pd
Source: Alexandria
Functional: GGA-PBE
Structure: optimized geometry

Calculated values
The volume is 132 Å³/cell. The symmetry is I-42d, No. 122. As for the crystal system: tetragonal. The value obtained for the formation energy is 10.25 kcal/mol of atoms. Its size of the total moment is 0.001 μB per formula unit.

Cell lengths 3.741, 3.741, 9.780 Å; angles 78.97, 78.97, 90.00 degrees
Fractional coordinates of all 8 atoms:
Mn  0.724  0.125  0.250
Mn  0.026  0.625  0.250
Mn  0.375  0.276  0.750
Mn  0.875  0.974  0.750
Zr  0.500  0.500  0.000
Zr  0.250  0.750  0.500
Pd  0.000  0.000  0.000
Pd  0.750  0.250  0.500

Compound: ThMn10Ge2
Source: Alexandria
Functional: GGA-PBE
Structure: optimized geometry

Calculated values
The volume is 344 Å³/cell. The symmetry is Cmcm, No. 63. As for the crystal system: orthorhombic. The value obtained for the formation energy is -1.19 kcal/mol of atoms. Its size of the total moment is 5.803 μB per formula unit.

Cell lengths 6.488, 6.488, 8.255 Å; angles 90.00, 90.00, 98.48 degrees
Each line ends with the local moment (μB).
Fractional coordinates of all 26 atoms:
Th  0.874  0.126  0.750  0.02
Th  0.126  0.874  0.250  0.02
Mn  0.363  0.132  0.750  -1.74
Mn  0.637  0.868  0.250  -1.74
Mn  0.868  0.637  0.750  -1.74
Mn  0.132  0.363  0.250  -1.74
Mn  0.513  0.746  0.750  0.67
Mn  0.487  0.254  0.250  0.67
Mn  0.254  0.487  0.750  0.67
Mn  0.746  0.513  0.250  0.67
Mn  0.827  0.173  0.391  1.23
Mn  0.173  0.827  0.891  1.23
Mn  0.827  0.173  0.109  1.23
Mn  0.173  0.827  0.609  1.23
Mn  0.595  0.405  0.922  1.10
Mn  0.405  0.595  0.422  1.10
Mn  0.595  0.405  0.578  1.10
Mn  0.405  0.595  0.078  1.10
Mn  0.768  0.768  0.000  1.59
Mn  0.232  0.232  0.500  1.59
Mn  0.232  0.232  0.000  1.59
Mn  0.768  0.768  0.500  1.59
Ge  0.500  0.000  0.000  -0.04
Ge  0.500  0.000  0.500  -0.04
Ge  0.000  0.500  0.500  -0.04
Ge  0.000  0.500  0.000  -0.04

Compound: SrHo4Se5
Source: Alexandria
Functional: GGA-PBE
Structure: optimized geometry

Calculated values
The volume is 248 Å³/cell. The symmetry is C2/m, No. 12. As for the crystal system: monoclinic. The calculation puts the raw formation energy at -1771 meV/atom. Its size of the total moment is 0.000 μB per formula unit.

Cell lengths 4.102, 7.171, 9.222 Å; angles 74.93, 77.15, 73.38 degrees
Fractional coordinates of all 10 atoms:
Sr  0.000  0.000  0.000
Ho  0.594  0.215  0.597
Ho  0.197  0.390  0.216
Ho  0.803  0.610  0.784
Ho  0.406  0.785  0.403
Se  0.201  0.909  0.688
Se  0.799  0.091  0.312
Se  0.389  0.325  0.898
Se  0.000  0.500  0.500
Se  0.611  0.675  0.102

Compound: Ba2LiCl2
Source: Alexandria
Functional: GGA-PBE
Structure: optimized geometry

Calculated values
The volume is 210 Å³/cell. The symmetry is I4/mmm, No. 139. As for the crystal system: tetragonal. The calculation puts the raw formation energy at -1393 meV/atom. Its size of the total moment is 0.000 μB per formula unit.

Cell lengths 5.115, 5.115, 8.797 Å; angles 73.10, 73.10, 90.00 degrees
Fractional coordinates of all 5 atoms:
Li  0.000  0.000  0.000
Ba  0.364  0.364  0.273
Ba  0.636  0.636  0.727
Cl  0.750  0.250  0.500
Cl  0.250  0.750  0.500

Compound: Pu4Bi
Source: Alexandria
Functional: GGA-PBE
Structure: optimized geometry

Calculated values
The volume is 212 Å³/cell. The symmetry is Pm-3m, No. 221. As for the crystal system: cubic. The value obtained for the formation energy is 19.13 kcal/mol of atoms. Its size of the total moment is 26.387 μB per formula unit.

Cell lengths 5.965, 5.965, 5.965 Å; angles 90.00, 90.00, 90.00 degrees
Each line ends with the local moment (μB).
Fractional coordinates of all 5 atoms:
Bi  0.500  0.500  0.500  -0.04
Pu  0.000  0.000  0.000  5.91
Pu  0.500  0.000  0.500  5.75
Pu  0.000  0.500  0.500  5.75
Pu  0.500  0.500  0.000  5.75

Compound: SrLiFe
Source: Alexandria
Functional: GGA-PBE
Structure: optimized geometry

Calculated values
For the energy above the most stable polymorph in this dataset, the calculation gives 43 meV per atom. The volume is 76 Å³/cell. The symmetry is P-6m2, No. 187. As for the crystal system: hexagonal. The value obtained for the formation energy is 14.22 kcal/mol of atoms. Its size of the total moment is 2.556 μB per formula unit.

Cell lengths 4.817, 4.817, 3.801 Å; angles 90.00, 90.00, 120.00 degrees
Each line ends with the local moment (μB).
Fractional coordinates of all 3 atoms:
Fe  0.000  0.000  0.167  2.87
Li  0.667  0.333  0.167  -0.05
Sr  0.333  0.667  0.667  -0.07

Compound: LiCaSmGa
Source: Alexandria
Functional: GGA-PBE
Structure: optimized geometry

Calculated values
The volume is 102 Å³/cell. The symmetry is F-43m, No. 216. As for the crystal system: cubic. The value obtained for the formation energy is -6.42 kcal/mol of atoms. Its size of the total moment is 0.000 μB per formula unit.

Cell lengths 5.236, 5.236, 5.236 Å; angles 60.00, 60.00, 60.00 degrees
Fractional coordinates of all 4 atoms:
Ca  0.500  0.500  0.500
Ga  0.250  0.250  0.250
Sm  0.000  0.000  0.000
Li  0.750  0.750  0.750

Compound: Sr2NbGe2
Source: Alexandria
Functional: GGA-PBE
Structure: optimized geometry

Calculated values
The volume is 261 Å³/cell. The symmetry is P4/mbm, No. 127. As for the crystal system: tetragonal. The value obtained for the formation energy is -3.41 kcal/mol of atoms. Its size of the total moment is 1.637 μB per formula unit.

Cell lengths 7.300, 7.300, 4.903 Å; angles 90.00, 90.00, 90.00 degrees
Each line ends with the local moment (μB).
Fractional coordinates of all 10 atoms:
Sr  0.173  0.673  0.500  0.01
Sr  0.673  0.827  0.500  0.01
Sr  0.827  0.327  0.500  0.01
Sr  0.327  0.173  0.500  0.01
Nb  0.000  0.000  0.000  1.28
Nb  0.500  0.500  0.000  1.29
Ge  0.366  0.866  0.000  -0.03
Ge  0.866  0.634  0.000  -0.04
Ge  0.634  0.134  0.000  -0.03
Ge  0.134  0.366  0.000  -0.04